# 1
Ba2Ag2C: optimized geometry, GGA-PBE.

Cell lengths 8.233, 8.233, 5.006 Å; angles 90.00, 90.00, 90.00 degrees
Last column: magnetic moment on the atom in μB.
Atoms (fractional coordinates):
Ag1 0.119 0.619 0.500  0.01
Ag2 0.619 0.881 0.500  0.02
Ag3 0.381 0.119 0.500  0.02
Ag4 0.881 0.381 0.500  0.01
Ba1 0.185 0.315 0.000  0.05
Ba2 0.815 0.685 0.000  0.05
Ba3 0.315 0.815 0.000  0.04
Ba4 0.685 0.185 0.000  0.04
C1 0.500 0.500 0.000  0.86
C2 0.000 0.000 0.000  0.86

## Properties
- Formation energy: 0.750 eV/atom
- Excess energy over the best structure of this formula in the dataset: 263 meV/atom
- E: -3.005 eV per atom

# 2
Ba2CaAgC: optimized geometry, GGA-PBE.

Cell lengths 6.681, 4.087, 6.681 Å; angles 90.00, 90.00, 90.00 degrees
Atoms (fractional coordinates):
C1 0.000 0.500 0.000
Ca1 0.500 0.500 0.500
Ag1 0.000 0.000 0.000
Ba1 0.000 0.000 0.500
Ba2 0.500 0.000 0.000

## Properties
- Formation energy: 0.755 eV/atom
- E: -2.829 eV per atom

# 3
Ba2CoAgC: optimized geometry, GGA-PBE.

Cell lengths 5.916, 5.916, 3.678 Å; angles 90.00, 90.00, 90.00 degrees
Atoms (fractional coordinates):
C1 0.000 0.000 0.000
Co1 0.000 0.000 0.500
Ba1 0.500 0.000 0.000
Ba2 0.000 0.500 0.000
Ag1 0.500 0.500 0.500

## Properties
- Formation energy: 0.103 eV/atom
- E: -4.502 eV per atom

# 4
Ba2AgCI: optimized geometry, GGA-PBE.

Cell lengths 6.386, 4.069, 6.386 Å; angles 90.00, 90.00, 90.00 degrees
Atoms (fractional coordinates):
Ag1 0.000 0.000 0.000
I1 0.500 0.500 0.500
Ba1 0.000 0.000 0.500
Ba2 0.500 0.000 0.000
C1 0.000 0.500 0.000

## Properties
- E: -3.408 eV per atom

# 5
Ba2InAgC: optimized geometry, GGA-PBE.

Cell lengths 5.956, 4.409, 5.956 Å; angles 90.00, 90.00, 90.00 degrees
Atoms (fractional coordinates):
In1 0.000 0.500 0.000
C1 0.000 0.000 0.000
Ba1 0.000 0.000 0.500
Ba2 0.500 0.000 0.000
Ag1 0.500 0.500 0.500

## Properties
- Formation energy: 0.249 eV/atom
- E: -3.483 eV per atom

# 6
BaMn2AgC: optimized geometry, GGA-PBE.

Cell lengths 6.687, 6.126, 6.687 Å; angles 90.00, 90.00, 90.00 degrees
Last column: magnetic moment on the atom in μB.
Atoms (fractional coordinates):
Mn1 0.500 0.000 0.000  4.38
Mn2 0.000 0.000 0.500  4.31
Ag1 0.000 0.500 0.000  0.02
C1 0.500 0.500 0.500  -1.04
Ba1 0.000 0.000 0.000  -0.09

## Properties
- Formation energy: 2.896 eV/atom
- E: -3.571 eV per atom

# 7
Ba2NiAgC: optimized geometry, GGA-PBE.

Cell lengths 5.932, 5.932, 3.674 Å; angles 90.00, 90.00, 90.00 degrees
Atoms (fractional coordinates):
Ba1 0.000 0.500 0.000
Ba2 0.500 0.000 0.000
C1 0.000 0.000 0.000
Ni1 0.000 0.000 0.500
Ag1 0.500 0.500 0.500

## Properties
- Formation energy: 0.025 eV/atom
- E: -4.315 eV per atom

# 8
BaAg2C2O6: optimized geometry, GGA-PBE.

Cell lengths 5.592, 5.592, 6.939 Å; angles 90.00, 90.00, 120.00 degrees
Atoms (fractional coordinates):
O1 0.689 0.576 0.240
O2 0.888 0.311 0.240
O3 0.576 0.888 0.760
O4 0.311 0.424 0.760
O5 0.112 0.689 0.760
O6 0.424 0.112 0.240
Ag1 0.333 0.667 0.290
Ag2 0.667 0.333 0.710
C1 0.333 0.667 0.759
C2 0.667 0.333 0.241
Ba1 0.000 0.000 0.000

## Properties
- E: -6.432 eV per atom

> Among the records above, which one has the lowest E?

BaAg2C2O6

> The lowest E belongs to which entry?

BaAg2C2O6

> E of number 4 (Ba2AgCI)?

-3.408 eV per atom